Material: RbMnPd
Method: DFT, PBE
State: relaxed

Properties
Offset from the most stable computed form (kJ/mol of formula units): 144.5
Raw total energy (hartree per atom): -0.16361
Formation energy (eV per atom): 0.658

abc: 5.2408 5.2408 6.2225
angles: 90.00 90.00 120.00
Space group P6_3mc (No. 186)
Inequivalent atoms, fractional coordinates:
Rb  0.0000  0.0000  0.0000 (multiplicity 2)
Mn  0.3333  0.6667  0.2772 (multiplicity 2)
Pd  0.3333  0.6667  0.7233 (multiplicity 2)

Material: RbMnPd
Method: DFT, PBE
State: relaxed

Properties
Offset from the most stable computed form (kJ/mol of formula units): 131.8
Raw total energy (hartree per atom): -0.16522
Formation energy (eV per atom): 0.614

abc: 8.949 3.111 11.248
angles: 90.00 90.00 90.00
Space group Pnma (No. 62)
Inequivalent atoms, fractional coordinates:
Rb  0.080  0.250  0.175 (multiplicity 4)
Mn  0.063  0.250  0.529 (multiplicity 4)
Pd  0.237  0.750  0.416 (multiplicity 4)

Material: RbMnPd
Method: DFT, PBE
State: relaxed

Properties
Offset from the most stable computed form (kJ/mol of formula units): 89.1
Raw total energy (hartree per atom): -0.17065
Formation energy (eV per atom): 0.466

abc: 3.425 4.719 11.835
angles: 79.90 83.69 68.75
Space group P1 (No. 1)
Inequivalent atoms, fractional coordinates:
Rb  0.000  0.000  0.000 (multiplicity 1)
Rb  0.447  0.643  0.608 (multiplicity 1)
Mn  0.377  0.027  0.286 (multiplicity 1)
Mn  0.787  0.135  0.380 (multiplicity 1)
Pd  0.073  0.580  0.360 (multiplicity 1)
Pd  0.690  0.480  0.182 (multiplicity 1)

Material: RbMnPd
Method: DFT, PBE
State: relaxed

Properties
Offset from the most stable computed form (kJ/mol of formula units): 76.7
Raw total energy (hartree per atom): -0.17222
Formation energy (eV per atom): 0.424

abc: 4.3906 4.3906 5.6317
angles: 90.00 90.00 120.00
Space group P-6m2 (No. 187)
Inequivalent atoms, fractional coordinates:
Rb  0.0000  0.0000  0.0000 (multiplicity 1)
Mn  0.3333  0.6667  0.5000 (multiplicity 1)
Pd  0.6667  0.3333  0.5000 (multiplicity 1)

Material: RbMnPd
Method: DFT, PBE
State: relaxed

Properties
Offset from the most stable computed form (kJ/mol of formula units): 36.4
Raw total energy (hartree per atom): -0.17734
Formation energy (eV per atom): 0.284

abc: 4.329 5.467 9.544
angles: 90.00 90.00 90.00
Space group Pmm2 (No. 25)
Inequivalent atoms, fractional coordinates:
Rb  0.000  0.000  0.000 (multiplicity 1)
Rb  0.500  0.500  0.388 (multiplicity 1)
Mn  0.500  0.247  0.719 (multiplicity 2)
Pd  0.000  0.000  0.648 (multiplicity 1)
Pd  0.000  0.500  0.690 (multiplicity 1)

Material: RbMnPd
Method: DFT, PBE
State: relaxed

Properties
Offset from the most stable computed form (kJ/mol of formula units): 187.0
Raw total energy (hartree per atom): -0.15822
Formation energy (eV per atom): 0.805

abc: 7.079 7.079 7.079
angles: 90.00 90.00 90.00
Space group F-43m (No. 216)
Inequivalent atoms, fractional coordinates:
Rb  0.000  0.000  0.000 (multiplicity 4)
Mn  0.000  0.000  0.500 (multiplicity 4)
Pd  0.250  0.250  0.750 (multiplicity 4)

Material: RbMn2Pd
Method: DFT, PBE
State: relaxed

Properties
Offset from the most stable computed form (kJ/mol of formula units): 77.6
Raw total energy (hartree per atom): -0.18996
Formation energy (eV per atom): 0.956

abc: 7.001 7.001 7.001
angles: 90.00 90.00 90.00
Space group Fm-3m (No. 225)
Inequivalent atoms, fractional coordinates:
Rb  0.000  0.000  0.000 (multiplicity 4)
Mn  0.250  0.250  0.250 (multiplicity 8)
Pd  0.000  0.000  0.500 (multiplicity 4)

Material: RbMnPd
Method: DFT, PBE
State: relaxed

Properties
Offset from the most stable computed form (kJ/mol of formula units): 93.6
Raw total energy (hartree per atom): -0.17007
Formation energy (eV per atom): 0.482

abc: 23.311 4.618 3.323
angles: 90.00 95.00 90.00
Space group C2/m (No. 12)
Inequivalent atoms, fractional coordinates:
Rb  0.152  0.000  0.092 (multiplicity 4)
Mn  0.000  0.212  0.000 (multiplicity 4)
Pd  0.064  0.500  0.539 (multiplicity 4)

Number 1: DOS at the Fermi energy 2.48 states/eV/cell. Number 2: DOS at the Fermi energy 13.18 states/eV/cell. Number 3: DOS at the Fermi energy 4.57 states/eV/cell. Number 4: DOS at the Fermi energy 2.40 states/eV/cell. Number 5: DOS at the Fermi energy 5.14 states/eV/cell. Number 6: DOS at the Fermi energy 13.14 states/eV/cell. Number 7: DOS at the Fermi energy 14.92 states/eV/cell. Number 8: DOS at the Fermi energy 8.51 states/eV/cell.